Record 1
Below is ZnNi2Au after structural relaxation, with properties calculated at the PBEsol level.

a b c (Å): 2.739 4.431 4.502
angles (deg): 102.11 107.71 90.00
Element x y z (fractional)
1 Ni 0.007 0.017 0.015
2 Ni 0.748 0.248 0.496
3 Au 0.252 0.756 0.503
4 Zn 0.493 0.479 0.986

Computed properties:
**DOS(E_F)**: 3.54 states/eV/cell
**Calculated volume**: 12.7 A^3/atom
**Energy relative to the elements**: -0.077 eV per atom
**Energy**: -4.5321 eV per atom



Record 2
Below is ZnNiAu after structural relaxation, with properties calculated at the PBEsol level.

a b c (Å): 2.790 3.368 4.824
angles (deg): 110.43 106.81 90.00
Element x y z (fractional)
1 Zn 0.319 0.319 0.638
2 Au 0.001 0.001 0.002
3 Ni 0.680 0.680 0.360

Computed properties:
**DOS(E_F)**: 1.25 states/eV/cell
**Calculated volume**: 13.5 A^3/atom
**Energy relative to the elements**: -0.140 eV per atom
**Energy**: -4.0279 eV per atom



Record 3
Below is ZnNi2Au after structural relaxation, with properties calculated at the PBEsol level.

a b c (Å): 4.155 4.155 4.155
angles (deg): 60.00 60.00 60.00
Element x y z (fractional)
1 Zn 0.750 0.750 0.750
2 Ni 0.000 0.000 0.000
3 Ni 0.250 0.250 0.250
4 Au 0.500 0.500 0.500

Computed properties:
**DOS(E_F)**: 2.99 states/eV/cell
**Calculated volume**: 12.7 A^3/atom
**Energy relative to the elements**: -0.052 eV per atom
**Energy**: -4.5074 eV per atom



Q: What is the formula in the second record?
A: ZnNiAu